Record 1
# CdNi2Se (GGA-PBEsol, relaxed)
data_CdNi2Se
_space_group_name_H-M_alt 'P 1'
_space_group_IT_number 1
_cell_length_a 4.3865
_cell_length_b 4.3865
_cell_length_c 5.0242
_cell_angle_alpha 99.44
_cell_angle_beta 99.44
_cell_angle_gamma 40.20
loop_
_space_group_symop_operation_xyz
'x,y,z'
loop_
_atom_site_label
_atom_site_type_symbol
_atom_site_fract_x
_atom_site_fract_y
_atom_site_fract_z
Cd1 Cd 0.0000 0.0000 0.0000
Ni1 Ni 0.2450 0.2450 0.7325
Ni2 Ni 0.5063 0.5063 0.5245
Se1 Se 0.7804 0.7804 0.4004
# Uncorrected energy = -4.323 eV per atom
# Uncorrected formation energy = 18.1 meV/atom
# Crystal system = monoclinic

=====

Record 2
# Y2ReRu (GGA-PBEsol, relaxed)
data_Y2ReRu
_space_group_name_H-M_alt 'P 1'
_space_group_IT_number 1
_cell_length_a 4.0846
_cell_length_b 5.5274
_cell_length_c 5.5274
_cell_angle_alpha 46.66
_cell_angle_beta 90.00
_cell_angle_gamma 90.00
loop_
_space_group_symop_operation_xyz
'x,y,z'
loop_
_atom_site_label
_atom_site_type_symbol
_atom_site_fract_x
_atom_site_fract_y
_atom_site_fract_z
Y1 Y 0.0000 0.0000 0.0000
Y2 Y 0.5000 0.2928 0.2928
Re1 Re 0.0000 0.7038 0.7038
Ru1 Ru 0.5000 0.5895 0.5895
# Uncorrected energy = -9.269 eV per atom
# Energy of formation = 18.6 meV/atom
# Crystal system = orthorhombic

=====

Record 3
# ScSe3S (GGA-PBEsol, relaxed)
data_ScSe3S
_space_group_name_H-M_alt 'P 1'
_space_group_IT_number 1
_cell_length_a 4.7527
_cell_length_b 4.7527
_cell_length_c 4.7527
_cell_angle_alpha 90.00
_cell_angle_beta 90.00
_cell_angle_gamma 90.00
loop_
_space_group_symop_operation_xyz
'x,y,z'
loop_
_atom_site_label
_atom_site_type_symbol
_atom_site_fract_x
_atom_site_fract_y
_atom_site_fract_z
Sc1 Sc 0.0000 0.0000 0.0000
Se1 Se 0.0000 0.5000 0.5000
Se2 Se 0.5000 0.0000 0.5000
Se3 Se 0.5000 0.5000 0.0000
S1 S 0.5000 0.5000 0.5000
# Uncorrected energy = -4.644 eV per atom
# Uncorrected formation energy = -136.1 meV/atom
# Crystal system = cubic

=====

Record 4
# TaMn4Os (GGA-PBEsol, relaxed)
data_TaMn4Os
_space_group_name_H-M_alt 'P 1'
_space_group_IT_number 1
_cell_length_a 4.6693
_cell_length_b 4.6693
_cell_length_c 4.6693
_cell_angle_alpha 60.00
_cell_angle_beta 60.00
_cell_angle_gamma 60.00
loop_
_space_group_symop_operation_xyz
'x,y,z'
loop_
_atom_site_label
_atom_site_type_symbol
_atom_site_fract_x
_atom_site_fract_y
_atom_site_fract_z
Ta1 Ta 0.0000 0.0000 0.0000
Mn1 Mn 0.1225 0.6258 0.6258
Mn2 Mn 0.6258 0.1225 0.6258
Mn3 Mn 0.6258 0.6258 0.1225
Mn4 Mn 0.6258 0.6258 0.6258
Os1 Os 0.2500 0.2500 0.2500
# Uncorrected energy = -10.773 eV per atom
# Energy of formation = -137.8 meV/atom
# Crystal system = cubic

=====

Record 5
# Ga3Os (GGA-PBEsol, relaxed)
data_Ga3Os
_space_group_name_H-M_alt 'P 1'
_space_group_IT_number 1
_cell_length_a 6.4712
_cell_length_b 6.4712
_cell_length_c 6.7348
_cell_angle_alpha 90.00
_cell_angle_beta 90.00
_cell_angle_gamma 90.00
loop_
_space_group_symop_operation_xyz
'x,y,z'
loop_
_atom_site_label
_atom_site_type_symbol
_atom_site_fract_x
_atom_site_fract_y
_atom_site_fract_z
Ga1 Ga 0.0000 0.5000 0.0000
Ga2 Ga 0.0000 0.5000 0.5000
Ga3 Ga 0.1557 0.1557 0.2347
Ga4 Ga 0.1557 0.1557 0.7653
Ga5 Ga 0.3443 0.6557 0.2653
Ga6 Ga 0.3443 0.6557 0.7347
Ga7 Ga 0.5000 0.0000 0.0000
Ga8 Ga 0.5000 0.0000 0.5000
Ga9 Ga 0.6557 0.3443 0.2653
Ga10 Ga 0.6557 0.3443 0.7347
Ga11 Ga 0.8443 0.8443 0.2347
Ga12 Ga 0.8443 0.8443 0.7653
Os1 Os 0.1593 0.8407 0.0000
Os2 Os 0.3407 0.3407 0.5000
Os3 Os 0.6593 0.6593 0.5000
Os4 Os 0.8407 0.1593 0.0000
# Uncorrected energy = -5.830 eV per atom
# Energy of formation = -271.2 meV/atom
# Crystal system = tetragonal

=====

Record 6
# In2FeCoPt (GGA-PBEsol, relaxed)
data_In2FeCoPt
_space_group_name_H-M_alt 'P 1'
_space_group_IT_number 1
_cell_length_a 4.6949
_cell_length_b 4.6949
_cell_length_c 4.5631
_cell_angle_alpha 90.00
_cell_angle_beta 90.00
_cell_angle_gamma 90.00
loop_
_space_group_symop_operation_xyz
'x,y,z'
loop_
_atom_site_label
_atom_site_type_symbol
_atom_site_fract_x
_atom_site_fract_y
_atom_site_fract_z
In1 In 0.0000 0.5000 0.0000
In2 In 0.5000 0.0000 0.0000
Fe1 Fe 0.0000 0.0000 0.5000
Co1 Co 0.5000 0.5000 0.0000
Pt1 Pt 0.5000 0.5000 0.5000
# Uncorrected energy = -5.054 eV per atom
# Energy of formation = 871.7 meV/atom
# Crystal system = tetragonal

=====

Record 7
# BaTiGe2 (GGA-PBEsol, relaxed)
data_BaTiGe2
_space_group_name_H-M_alt 'P 1'
_space_group_IT_number 1
_cell_length_a 5.0455
_cell_length_b 5.0455
_cell_length_c 5.0455
_cell_angle_alpha 60.00
_cell_angle_beta 60.00
_cell_angle_gamma 60.00
loop_
_space_group_symop_operation_xyz
'x,y,z'
loop_
_atom_site_label
_atom_site_type_symbol
_atom_site_fract_x
_atom_site_fract_y
_atom_site_fract_z
Ba1 Ba 0.0000 0.0000 0.0000
Ti1 Ti 0.5000 0.5000 0.5000
Ge1 Ge 0.2500 0.2500 0.2500
Ge2 Ge 0.7500 0.7500 0.7500
# Uncorrected energy = -5.028 eV per atom
# Energy of formation = 59.1 meV/atom
# Crystal system = cubic

=====

Record 8
# CoAs (GGA-PBEsol, relaxed)
data_CoAs
_space_group_name_H-M_alt 'P 1'
_space_group_IT_number 1
_cell_length_a 4.2303
_cell_length_b 4.2303
_cell_length_c 4.2303
_cell_angle_alpha 60.00
_cell_angle_beta 60.00
_cell_angle_gamma 60.00
loop_
_space_group_symop_operation_xyz
'x,y,z'
loop_
_atom_site_label
_atom_site_type_symbol
_atom_site_fract_x
_atom_site_fract_y
_atom_site_fract_z
Co1 Co 0.1250 0.1250 0.1250
Co2 Co 0.8750 0.8750 0.8750
As1 As 0.3750 0.3750 0.3750
As2 As 0.6250 0.6250 0.6250
# Uncorrected energy = -5.952 eV per atom
# Energy of formation = 469.4 meV/atom
# Crystal system = cubic

=====

- uncorrected energy of number 3 (ScSe3S)?
  -4.644 eV per atom